Density functional theory data (GGA+U) for a geometry-optimized VCO2F structure.

a b c (Å): 3.7433 3.7433 3.9112
angles (deg): 90.00 90.00 90.00
Last column: nearest neighbours and their distance in Å.
Positions (direct):
C  0.5000  0.5000  0.5000  4 F 2.65, 8 O 2.71
O  0.5000  0.0000  0.0000  2 V 1.87
O  0.0000  0.5000  0.0000  2 V 1.87
F  0.0000  0.0000  0.5000  2 V 1.96
V  0.0000  0.0000  0.0000  4 O 1.87, 2 F 1.96

Values from the calculation:
Final energy   -5.64 eV/atom
SG   P4/mmm, No. 123